1.
VASP calculation (GGA-PBE) on a relaxed K2LaW crystal.

Cell lengths 5.810, 5.810, 5.810 Å; angles 60.00, 60.00, 60.00 degrees
Atoms (fractional coordinates):
K1 0.250 0.250 0.250
K2 0.750 0.750 0.750
La1 0.000 0.000 0.000
W1 0.500 0.500 0.500

Output
For the energy above the most stable polymorph in this dataset, the calculation gives 0.8682 eV/atom. As for the space group: No. 225.

---

2.
VASP calculation (GGA-PBE) on a relaxed Na2TaReCl crystal.

Cell lengths 4.463, 4.463, 5.175 Å; angles 90.00, 90.00, 90.00 degrees
Atoms (fractional coordinates):
Na1 0.000 0.500 0.000
Na2 0.500 0.000 0.000
Ta1 0.000 0.000 0.500
Re1 0.500 0.500 0.500
Cl1 0.000 0.000 0.000

Output
Its uncorrected formation energy is 1.144 eV per atom. As for the space group: No. 123.

---

3.
VASP calculation (GGA-PBE) on a relaxed Be2InP crystal.

Cell lengths 4.684, 4.684, 2.725 Å; angles 90.00, 90.00, 101.69 degrees
Atoms (fractional coordinates):
Be1 0.000 0.500 0.000
Be2 0.500 0.000 0.000
In1 0.000 0.000 0.500
P1 0.500 0.500 0.500

Output
For the energy above the most stable polymorph in this dataset, the calculation gives 0.5250 eV/atom. As for the space group: No. 65.

---

What are the VASP energy values for these records? In order: -3.251; -4.613; -3.229 eV per atom.
What are the DOS(E_F) values for these records? In order: 3.3; 3.9; 0.9 states/eV per cell.